Entry from Alexandria via LeMat-Bulk: an optimized crystal structure of SiHSeBrF (GGA-PBE).

**Density of states at the Fermi level**: 0.15 states/eV per atom
**Distance to the lowest polymorph of the same formula**: 30 meV per atom
**Electronic total energy**: -20.1 eV for the cell shown

abc: 4.8269 4.9662 5.2858
angles: 95.65 96.92 104.54
With the nearest neighbours (Å) after each atom.
Space group P1 (No. 1)
Unique sites:
Si: 0.0000 0.0000 0.0000 [1 per cell]  1 H 1.48, 1 F 1.62
H: 0.2102 0.1618 0.8529 [1 per cell]  1 Si 1.48
Se: 0.7921 0.2483 0.2550 [1 per cell]  1 Si 2.23
Br: 0.2755 0.7566 0.2364 [1 per cell]  1 Si 2.34
F: 0.7714 0.7491 0.8057 [1 per cell]  1 Si 1.62

=====

Entry from Alexandria via LeMat-Bulk: an optimized crystal structure of SiHSeBrF (GGA-PBE).

**Density of states at the Fermi level**: 0.26 states/eV per atom
**Distance to the lowest polymorph of the same formula**: 0 meV per atom
**Electronic total energy**: -40.6 eV for the cell shown

abc: 12.1334 4.6441 4.9474
angles: 90.00 91.06 90.00
With the nearest neighbours (Å) after each atom.
Space group Cm (No. 8)
Unique sites:
Si: 0.0000 0.0000 0.0000 [2 per cell]  1 F 1.63
H: 0.4318 0.0000 0.3283 [2 per cell]  1 Se 1.48
Se: 0.0350 0.5000 0.1725 [2 per cell]  1 H 1.48
Br: 0.3368 0.5000 0.7674 [2 per cell]  1 Si 2.27
F: 0.0934 0.0000 0.7668 [2 per cell]  1 Si 1.63

=====

Entry from Alexandria via LeMat-Bulk: an optimized crystal structure of SiHSeBrF (GGA-PBE).

**Density of states at the Fermi level**: 0.27 states/eV per atom
**Distance to the lowest polymorph of the same formula**: 0 meV per atom
**Electronic total energy**: -20.3 eV for the cell shown

abc: 4.6394 5.0022 6.4540
angles: 104.15 93.37 90.27
With the nearest neighbours (Å) after each atom.
Space group P1 (No. 1)
Unique sites:
Si: 0.0000 0.0000 0.0000 [1 per cell]  1 F 1.63
H: 0.5142 0.3633 0.1446 [1 per cell]  1 Se 1.48
Se: 0.4957 0.1529 0.9377 [1 per cell]  1 H 1.48
Br: 0.0239 0.8616 0.3108 [1 per cell]  1 Si 2.27
F: 0.9831 0.7140 0.8118 [1 per cell]  1 Si 1.63